Material: Lu4GaAsC2
Method: DFT, PBE
State: optimized geometry

- M_tot (μB/cell) = 0.17
- ρ (g cm⁻³) = 9.30
- E (eV/atom) = -6.134

Cell lengths 3.5178, 3.5178, 14.4647 Å; angles 90.00, 90.00, 120.00 degrees
Closest atoms and distances in Å follow each position.
Positions (direct):
As1 0.3333 0.6667 0.5000  6 Lu 2.95
Ga1 0.6667 0.3333 0.0000  6 Lu 3.20, 6 Ga 3.52
Lu1 0.3333 0.6667 0.8286  3 C 2.41
Lu2 0.6667 0.3333 0.3520  3 C 2.42
Lu3 0.6667 0.3333 0.6480  3 C 2.42
Lu4 0.3333 0.6667 0.1714  3 C 2.41
C1 0.0000 0.0000 0.7384  6 Lu 2.41-2.42
C2 0.0000 0.0000 0.2616  6 Lu 2.41-2.42